Li2PuCrO4: relaxed, PBE+U.

Summary:
final energy: -7.9143 eV per atom
volume: 11.33 Å³/atom
symmetry: I-4m2

a b c (Å): 4.520 4.520 5.468
angles (deg): 114.41 114.41 90.00
Last column: magnetic moment on the atom in μB.
Atoms (fractional coordinates):
Li  0.250  0.750  0.500  0.00
Li  0.000  0.000  0.000  0.00
Pu  0.750  0.250  0.500  4.41
Cr  0.500  0.500  0.000  3.68
O  0.997  0.497  0.994  -0.07
O  0.503  0.003  0.006  -0.07
O  0.734  0.734  0.468  -0.08
O  0.266  0.266  0.532  -0.08